1.
The following is a PBE calculation of a relaxed BaCeO3 crystal, from Alexandria. Values from VASP.

**Formation energy without anion corrections**: -3170 meV per atom
**Space group**: Pnma (62)
**Fermi-level density of states**: 0.00 states/eV per atom
**Calculated volume**: 350.4 Å³/cell
**Total magnetization**: 0.000 Bohr magnetons per cell

```
&SYSTEM
  ibrav = 0, nat = 20, ntyp = 3
/
ATOMIC_SPECIES
Ba 137.33 Ba.upf
Ce 140.12 Ce.upf
O 16.00 O.upf
CELL_PARAMETERS angstrom
6.289 0.000 0.000
0.000 8.866 0.000
0.000 0.000 6.285
ATOMIC_POSITIONS crystal
Ba 0.024 0.250 0.007
Ba 0.476 0.750 0.507
Ba 0.524 0.250 0.493
Ba 0.976 0.750 0.993
Ce 0.000 0.000 0.500
Ce 0.000 0.500 0.500
Ce 0.500 0.000 0.000
Ce 0.500 0.500 0.000
O 0.018 0.750 0.424
O 0.221 0.541 0.778
O 0.221 0.959 0.778
O 0.279 0.041 0.278
O 0.279 0.459 0.278
O 0.482 0.250 0.924
O 0.518 0.750 0.076
O 0.721 0.541 0.722
O 0.721 0.959 0.722
O 0.779 0.041 0.222
O 0.779 0.459 0.222
O 0.982 0.250 0.576
```

---

2.
The following is a PBE calculation of a relaxed La4Tb3In4 crystal, from Alexandria. Values from VASP.

**E**: -48.28 eV/cell
**Space group**: Immm (71)
**Fermi-level density of states**: 0.97 states/eV per atom
**Calculated volume**: 345.5 Å³/cell
**Total magnetization**: 0.000 Bohr magnetons per cell

```
&SYSTEM
  ibrav = 0, nat = 11, ntyp = 3
/
ATOMIC_SPECIES
La 138.91 La.upf
Tb 158.93 Tb.upf
In 114.82 In.upf
CELL_PARAMETERS angstrom
-1.819 4.768 9.961
1.819 -4.768 9.961
1.819 4.768 -9.961
ATOMIC_POSITIONS crystal
La 0.004 0.837 0.167
La 0.329 0.163 0.167
La 0.671 0.837 0.833
La 0.996 0.163 0.833
Tb 0.000 0.500 0.500
Tb 0.409 0.409 0.000
Tb 0.591 0.591 0.000
In 0.279 0.000 0.279
In 0.280 0.780 0.500
In 0.720 0.220 0.500
In 0.721 0.000 0.721
```